[1]
# CaCe3Ga8

A relaxed structure of CaCe3Ga8 (PBE-GGA, the Alexandria database).

a b c (Å): 5.576 5.576 9.701
angles (deg): 73.30 73.30 60.00
Atoms (fractional coordinates):
Ca  0.875  0.875  0.374
Ce  0.375  0.375  0.876
Ce  0.001  0.001  0.998
Ce  0.499  0.499  0.502
Ga  0.938  0.438  0.187
Ga  0.437  0.938  0.688
Ga  0.438  0.438  0.187
Ga  0.938  0.938  0.688
Ga  0.187  0.187  0.438
Ga  0.687  0.687  0.938
Ga  0.438  0.938  0.187
Ga  0.938  0.437  0.688

* final energy: -49.997 eV for the cell shown
* symmetry: No. 160
* energy of formation: -0.50 eV per atom
* V: 246.42 Å³ per cell

***

[2]
# Ca4CeGa5

A relaxed structure of Ca4CeGa5 (PBE-GGA, the Alexandria database).

a b c (Å): 3.653 3.653 18.408
angles (deg): 90.00 90.00 90.00
Atoms (fractional coordinates):
Ca  0.000  0.000  0.202
Ca  0.000  0.000  0.400
Ca  0.000  0.000  0.600
Ca  0.000  0.000  0.798
Ce  0.000  0.000  0.000
Ga  0.500  0.500  0.101
Ga  0.500  0.500  0.301
Ga  0.500  0.500  0.500
Ga  0.500  0.500  0.699
Ga  0.500  0.500  0.899

* final energy: -33.461 eV for the cell shown
* symmetry: No. 123
* energy of formation: -0.44 eV per atom
* V: 245.67 Å³ per cell

***

[3]
# CaCeGa2

A relaxed structure of CaCeGa2 (PBE-GGA, the Alexandria database).

a b c (Å): 3.587 3.587 9.588
angles (deg): 79.22 79.22 60.00
Atoms (fractional coordinates):
Ca  0.500  0.500  0.500
Ga  0.750  0.750  0.749
Ga  0.250  0.250  0.251
Ce  0.000  0.000  0.000

* final energy: -14.852 eV for the cell shown
* symmetry: No. 166
* energy of formation: -0.22 eV per atom
* V: 104.32 Å³ per cell

***

[4]
# CaCeGa

A relaxed structure of CaCeGa (PBE-GGA, the Alexandria database).

a b c (Å): 3.663 5.098 5.098
angles (deg): 120.00 90.00 90.00
Atoms (fractional coordinates):
Ca  0.611  0.667  0.333
Ga  0.341  0.333  0.667
Ce  0.048  0.000  0.000

* final energy: -11.218 eV for the cell shown
* symmetry: No. 156
* energy of formation: -0.09 eV per atom
* V: 82.46 Å³ per cell

***

[5]
# CaCeGa

A relaxed structure of CaCeGa (PBE-GGA, the Alexandria database).

a b c (Å): 3.484 3.484 7.448
angles (deg): 103.52 103.52 90.00
Atoms (fractional coordinates):
Ca  0.027  0.027  0.054
Ga  0.669  0.669  0.339
Ce  0.303  0.303  0.607

* final energy: -11.625 eV for the cell shown
* symmetry: No. 107
* energy of formation: -0.22 eV per atom
* V: 85.29 Å³ per cell

***

[6]
# CaCeGa

A relaxed structure of CaCeGa (PBE-GGA, the Alexandria database).

a b c (Å): 3.655 3.863 11.611
angles (deg): 89.99 91.89 90.00
Atoms (fractional coordinates):
Ca  0.859  0.291  0.126
Ca  0.386  0.791  0.387
Ce  0.802  0.291  0.821
Ce  0.443  0.791  0.691
Ga  0.915  0.291  0.545
Ga  0.330  0.791  0.968

* final energy: -23.866 eV for the cell shown
* symmetry: No. 11
* energy of formation: -0.32 eV per atom
* V: 163.83 Å³ per cell

***

[7]
# CaCeGa2

A relaxed structure of CaCeGa2 (PBE-GGA, the Alexandria database).

a b c (Å): 3.484 3.484 7.909
angles (deg): 90.00 90.00 90.00
Atoms (fractional coordinates):
Ca  0.500  0.500  0.500
Ga  0.000  0.000  0.751
Ga  0.000  0.000  0.249
Ce  0.500  0.500  0.000

* final energy: -15.805 eV for the cell shown
* symmetry: No. 123
* energy of formation: -0.45 eV per atom
* V: 95.98 Å³ per cell

***

[8]
# CaCe2Ga3

A relaxed structure of CaCe2Ga3 (PBE-GGA, the Alexandria database).

a b c (Å): 3.339 3.339 12.559
angles (deg): 90.00 90.00 90.00
Atoms (fractional coordinates):
Ca  0.500  0.500  0.500
Ce  0.500  0.500  0.832
Ce  0.500  0.500  0.168
Ga  0.000  0.000  0.000
Ga  0.000  0.000  0.668
Ga  0.000  0.000  0.332

* final energy: -25.732 eV for the cell shown
* symmetry: No. 123
* energy of formation: -0.46 eV per atom
* V: 140.01 Å³ per cell

***

[9]
# Ca5CeGa6

A relaxed structure of Ca5CeGa6 (PBE-GGA, the Alexandria database).

a b c (Å): 5.163 7.393 8.972
angles (deg): 65.67 73.31 90.00
Atoms (fractional coordinates):
Ca  0.671  0.170  0.659
Ca  0.333  0.334  0.332
Ca  0.000  0.500  0.000
Ca  0.667  0.666  0.668
Ca  0.329  0.830  0.341
Ga  0.835  0.587  0.328
Ga  0.835  0.085  0.328
Ga  0.500  0.752  0.000
Ga  0.500  0.248  0.000
Ga  0.165  0.915  0.672
Ga  0.165  0.413  0.672
Ce  0.000  0.000  0.000

* final energy: -39.430 eV for the cell shown
* symmetry: No. 71
* energy of formation: -0.44 eV per atom
* V: 296.13 Å³ per cell

***

[10]
# Ca3CeGa4

A relaxed structure of Ca3CeGa4 (PBE-GGA, the Alexandria database).

a b c (Å): 5.163 7.385 10.326
angles (deg): 90.00 90.00 90.00
Atoms (fractional coordinates):
Ca  0.000  0.000  0.000
Ca  0.000  0.000  0.500
Ca  0.499  0.000  0.750
Ca  0.501  0.000  0.250
Ca  0.499  0.500  0.750
Ca  0.501  0.500  0.250
Ga  0.500  0.750  0.000
Ga  0.500  0.750  0.500
Ga  0.500  0.250  0.000
Ga  0.500  0.250  0.500
Ga  0.999  0.750  0.750
Ga  0.001  0.750  0.250
Ga  0.001  0.250  0.250
Ga  0.999  0.250  0.750
Ce  0.000  0.500  0.000
Ce  0.000  0.500  0.500

* final energy: -55.204 eV for the cell shown
* symmetry: No. 51
* energy of formation: -0.44 eV per atom
* V: 393.68 Å³ per cell

***

[11]
# CaCe5Ga6

A relaxed structure of CaCe5Ga6 (PBE-GGA, the Alexandria database).

a b c (Å): 5.120 8.911 8.911
angles (deg): 119.86 106.69 106.69
Atoms (fractional coordinates):
Ca  0.000  0.000  0.000
Ce  0.500  0.168  0.832
Ce  0.000  0.334  0.666
Ce  0.500  0.500  0.500
Ce  0.000  0.666  0.334
Ce  0.500  0.832  0.168
Ga  0.246  0.082  0.411
Ga  0.754  0.589  0.918
Ga  0.743  0.243  0.243
Ga  0.257  0.757  0.757
Ga  0.246  0.411  0.082
Ga  0.754  0.918  0.589

* final energy: -55.245 eV for the cell shown
* symmetry: No. 71
* energy of formation: -0.45 eV per atom
* V: 288.90 Å³ per cell

***

[12]
# Ca2CeGa3

A relaxed structure of Ca2CeGa3 (PBE-GGA, the Alexandria database).

a b c (Å): 5.133 8.146 7.419
angles (deg): 90.00 90.00 71.64
Atoms (fractional coordinates):
Ca  0.000  0.000  0.000
Ca  0.000  0.000  0.500
Ca  0.333  0.335  0.500
Ca  0.667  0.665  0.500
Ce  0.337  0.326  0.000
Ce  0.663  0.674  0.000
Ga  0.832  0.335  0.751
Ga  0.500  0.000  0.252
Ga  0.168  0.665  0.249
Ga  0.832  0.335  0.249
Ga  0.168  0.665  0.751
Ga  0.500  0.000  0.748

* final energy: -43.333 eV for the cell shown
* symmetry: No. 65
* energy of formation: -0.44 eV per atom
* V: 294.44 Å³ per cell